Record 1
PBE Sr2CeCu, optimized geometry; SG = R-3m (166); calculated volume = 150.87 Å³/cell
1.0
-2.155 2.041 2.510
-2.989 -1.693 1.821
5.299 -3.036 10.029
Sr Cu Ce
2 1 1
Cartesian
3.036 -2.019 7.259 Sr
-2.881 -0.668 7.101 Sr
0.077 -1.344 7.180 Cu
0.000 0.000 0.000 Ce

Record 2
PBE Ce2TaCu, optimized geometry; SG = R-3m (166); calculated volume = 83.00 Å³/cell
1.0
-0.539 -1.280 2.618
-1.269 -2.676 0.108
9.249 -6.003 0.646
Cu Ce Ta
1 2 1
Cartesian
3.721 -4.979 1.686 Cu
6.617 -4.752 0.716 Ce
0.824 -5.207 2.656 Ce
0.000 0.000 0.000 Ta

Record 3
PBE TbCeCu2, optimized geometry; SG = Fm-3m (225); calculated volume = 86.48 Å³/cell; excess energy over the best structure of this formula in the dataset = 7 meV/atom
1.0
4.964 0.000 0.000
2.482 4.299 0.000
2.482 1.433 4.053
Tb Cu Ce
1 2 1
Cartesian
0.000 0.000 0.000 Tb
2.482 1.433 1.013 Cu
7.446 4.299 3.040 Cu
4.964 2.866 2.026 Ce

Record 4
PBE Tb2CeCu, optimized geometry; SG = P4/mmm (123); calculated volume = 103.57 Å³/cell; excess energy over the best structure of this formula in the dataset = 0 meV/atom
1.0
-1.208 -0.781 3.189
-0.638 -3.277 -1.045
7.792 -2.279 2.393
Tb Cu Ce
2 1 1
Cartesian
6.219 -1.819 1.910 Tb
1.573 -0.460 0.483 Tb
-0.923 -2.029 1.072 Cu
2.973 -3.169 2.269 Ce

Record 5
PBE TbCeCu2, optimized geometry; SG = P4/mmm (123); calculated volume = 86.09 Å³/cell; excess energy over the best structure of this formula in the dataset = 0 meV/atom
1.0
-1.787 2.921 -0.429
-2.864 -1.593 1.081
1.502 1.918 6.805
Tb Cu Ce
1 2 1
Cartesian
-2.326 0.664 0.326 Tb
1.149 1.467 5.205 Cu
0.353 0.451 1.600 Cu
-1.575 1.623 3.729 Ce

Record 6
PBE Tb5CeCu4, optimized geometry; SG = P4/mmm (123); calculated volume = 230.58 Å³/cell
1.0
-3.373 0.719 0.405
-0.775 -2.178 -2.592
-1.556 -14.359 12.530
Tb Ce Cu
5 1 4
Cartesian
-2.283 -2.658 0.590 Tb
-2.566 -5.269 2.868 Tb
-2.852 -7.909 5.172 Tb
-3.138 -10.549 7.475 Tb
-3.421 -13.159 9.754 Tb
0.000 0.000 0.000 Ce
-0.350 -3.228 2.817 Cu
-0.635 -5.864 5.118 Cu
-0.920 -8.494 7.413 Cu
-1.206 -11.131 9.713 Cu

Record 7
PBE Tb2CeCu6, optimized geometry; SG = P6/mmm (191); calculated volume = 168.75 Å³/cell
1.0
3.574 0.000 0.000
0.000 6.394 -3.692
0.000 0.000 7.383
Tb Ce Cu
2 1 6
Cartesian
0.000 2.131 3.692 Tb
3.574 4.263 0.000 Tb
0.000 0.000 7.383 Ce
1.787 2.138 1.234 Cu
1.787 4.256 2.457 Cu
1.787 0.000 4.915 Cu
1.787 4.256 4.926 Cu
1.787 2.138 -1.234 Cu
1.787 6.394 -1.223 Cu

Record 8
PBE Tb2CeCu, optimized geometry; SG = R-3m (166); calculated volume = 106.25 Å³/cell; excess energy over the best structure of this formula in the dataset = 281 meV/atom
1.0
3.350 0.000 0.000
1.675 2.901 0.000
1.675 0.967 10.935
Tb Cu Ce
2 1 1
Cartesian
1.675 0.967 7.628 Tb
5.024 2.901 3.307 Tb
3.350 1.934 5.467 Cu
0.000 0.000 0.000 Ce

Number 1: DOS at the Fermi energy 9.185 states/eV/f.u., formation enthalpy at 0 K 0.403 eV/atom. Number 2: DOS at the Fermi energy 6.589 states/eV/f.u., formation enthalpy at 0 K 0.407 eV/atom. Number 3: DOS at the Fermi energy 6.552 states/eV/f.u., formation enthalpy at 0 K -0.117 eV/atom. Number 4: DOS at the Fermi energy 6.696 states/eV/f.u., formation enthalpy at 0 K -0.055 eV/atom. Number 5: DOS at the Fermi energy 6.724 states/eV/f.u., formation enthalpy at 0 K -0.124 eV/atom. Number 6: DOS at the Fermi energy 8.601 states/eV/f.u., formation enthalpy at 0 K -0.173 eV/atom. Number 7: DOS at the Fermi energy 9.613 states/eV/f.u., formation enthalpy at 0 K -0.216 eV/atom. Number 8: DOS at the Fermi energy 6.394 states/eV/f.u., formation enthalpy at 0 K 0.226 eV/atom.